! Nb3SiIr | the Alexandria database | PBE | optimized geometry; values from VASP
&SYSTEM
  ibrav = 0, nat = 5, ntyp = 3
/
ATOMIC_SPECIES
Nb 92.91 Nb.upf
Si 28.09 Si.upf
Ir 192.22 Ir.upf
ATOMIC_POSITIONS crystal
Nb 0.000 0.000 0.500
Nb 0.000 0.500 0.000
Nb 0.500 0.000 0.000
Si 0.500 0.500 0.500
Ir 0.000 0.000 0.000
CELL_PARAMETERS angstrom
4.837 0.000 0.000
0.000 4.837 0.000
0.000 0.000 4.837
! E_form (uncorrected) in kJ/mol of formula units: 494
! Offset from the most stable computed form in kJ/mol of formula units: 157
! DOS at the Fermi energy in states/eV/atom: 0.753
! Volume in Å³ per atom: 22.6
! VASP energy in eV per atom: -7.875